# NbTl2Cu2O6

A relaxed structure of NbTl2Cu2O6 (PBE, Alexandria via LeMat-Bulk).

**Magnetization**: 3.1 μB/f.u.
**Energy relative to the elements, uncorrected**: -1.095 eV per atom

abc: 5.9465 5.9465 6.6445
angles: 63.42 63.42 60.00
Closest atoms and distances in Å follow each position.
Atoms (fractional coordinates):
O1 0.2277 0.7597 0.7850  1 Cu 1.83, 1 Nb 2.02
O2 0.7597 0.2277 0.7850  1 Cu 1.83, 1 Nb 2.02
O3 0.7723 0.2404 0.2150  1 Cu 1.83, 1 Nb 2.02
Tl1 0.7874 0.7874 0.6377  9 O 2.89-3.09
Cu1 0.5960 0.5960 0.2121  3 O 1.83
Tl2 0.2126 0.2126 0.3623  9 O 2.89-3.09
O4 0.2404 0.7723 0.2150  1 Cu 1.83, 1 Nb 2.02
Nb1 0.0000 0.0000 0.0000  6 O 2.02
Cu2 0.4040 0.4040 0.7879  3 O 1.83
O5 0.7723 0.7723 0.2150  1 Cu 1.83, 1 Nb 2.02
O6 0.2277 0.2277 0.7850  1 Cu 1.83, 1 Nb 2.02